# 1
An optimized crystal structure of YTmRhAu, computed with PBE.

Summary:
Total energy: -6.265 eV per atom
Total moment: 0.00 μB/f.u.
ΔE to the lowest computed polymorph: 0 meV per atom

```
4
Lattice="-1.571 -1.678 2.662 -0.013 -2.972 -1.881 6.185 -1.670 2.597" Properties=species:S:1:pos:R:3 pbc="T T T"
Au -0.082 -2.517 0.689
Tm 2.285 -0.617 0.959
Y 5.223 -1.411 2.193
Rh 2.914 -3.326 1.947
```

# 2
An optimized crystal structure of Pu2NF, computed with PBE.

Summary:
Total energy: -10.987 eV per atom
Total moment: 11.93 μB/f.u.
Energy relative to the elements, uncorrected: -5.086 eV per formula unit

```
4
Lattice="-0.780 2.202 2.027 -2.308 0.891 -1.856 -4.009 -4.169 2.985" Properties=species:S:1:pos:R:3 pbc="T T T"
Pu -2.884 -2.999 2.148
Pu -1.125 -1.169 0.837
F -1.544 1.546 0.086
N -3.549 -0.538 1.578
```

# 3
An optimized crystal structure of Ce3Ge9RuPt2, computed with PBE.

Summary:
Total energy: -5.621 eV per atom
Total moment: 1.00 μB/f.u.

```
15
Lattice="-1.409 -3.556 6.340 6.254 3.891 -0.751 -3.387 5.941 2.580" Properties=species:S:1:pos:R:3 pbc="T T T"
Pt -1.165 2.979 5.736
Pt 2.623 3.297 2.432
Ge -0.704 -1.778 3.170
Ge 0.789 3.889 6.681
Ge 3.127 1.946 -0.376
Ge 4.104 4.524 1.075
Ge -1.872 3.705 3.612
Ge -2.645 1.753 7.093
Ge 0.670 2.387 1.488
Ge 2.423 0.168 2.794
Ge 3.330 2.571 4.556
Ce 0.127 0.713 4.752
Ce 1.331 5.563 3.416
Ce 0.000 0.000 0.000
Ru -1.693 2.970 1.290
```

# 4
An optimized crystal structure of MgPa2GaN5, computed with PBE.

Summary:
Total energy: -8.368 eV per atom
Total moment: 0.00 μB/f.u.
Energy relative to the elements, uncorrected: -10.076 eV per formula unit

```
18
Lattice="3.400 0.000 0.000 -1.700 6.787 0.000 0.000 0.000 9.956" Properties=species:S:1:pos:R:3 pbc="T T T"
N 0.000 4.061 3.336
N 1.700 2.726 8.314
N 1.700 2.781 1.598
N 1.700 1.815 5.405
N 1.700 6.001 5.493
N 1.700 0.169 2.873
N 0.000 4.972 0.427
N 0.000 0.787 0.515
N 0.000 4.006 6.576
N 0.000 6.618 7.851
Pa 1.700 4.987 1.992
Pa 1.700 5.037 7.646
Pa 0.000 1.800 6.970
Pa 0.000 1.750 2.668
Mg 0.000 2.900 9.868
Mg 1.700 3.887 4.890
Ga 1.700 0.135 9.815
Ga 0.000 6.652 4.837
```